Material: Al2NiPd6
Method: DFT, PBE
State: optimized geometry

- Formation energy: -555 meV/atom
- Final energy: -5.49 eV/atom
- Total magnetic moment: 0.001 μB/cell

Cell: 4.073 10.409 12.287 Å, 90.00 90.00 90.00°
Space group Fmmm (No. 69)
Asymmetric unit:
Al1 0.000 0.000 0.157 [8 per cell]
Ni1 0.000 0.000 0.500 [4 per cell]
Pd1 0.000 0.151 0.330 [16 per cell]
Pd2 0.000 0.159 0.000 [8 per cell]